## CdNiHg2 (SCAN)

Data for CdNiHg2 at its PBEsol-relaxed geometry. Values from VASP.

```
&SYSTEM
  ibrav = 0, nat = 4, ntyp = 3
/
ATOMIC_SPECIES
Cd 112.41 Cd.upf
Ni 58.69 Ni.upf
Hg 200.59 Hg.upf
CELL_PARAMETERS angstrom
-1.447 2.212 6.083
1.447 -2.212 6.083
1.447 2.212 -6.083
ATOMIC_POSITIONS angstrom
Cd 0.000 0.000 0.000
Ni 0.000 0.000 6.083
Hg 1.447 0.000 3.863
Hg 0.000 2.212 2.220
```

crystal system: orthorhombic
raw total energy: -45.632 eV per atom
SG: Immm

***

## Cd2NiHg (SCAN)

Data for Cd2NiHg at its PBEsol-relaxed geometry. Values from VASP.

```
&SYSTEM
  ibrav = 0, nat = 4, ntyp = 3
/
ATOMIC_SPECIES
Cd 112.41 Cd.upf
Ni 58.69 Ni.upf
Hg 200.59 Hg.upf
CELL_PARAMETERS angstrom
6.283 -1.464 0.000
6.283 1.464 0.000
-1.529 0.000 4.118
ATOMIC_POSITIONS angstrom
Cd 0.000 0.000 0.000
Cd 1.273 0.000 2.820
Ni 8.342 0.000 0.768
Hg 4.130 0.000 1.543
```

crystal system: monoclinic
raw total energy: -36.240 eV per atom
SG: Cm

***

## CdNiHg2 (SCAN)

Data for CdNiHg2 at its PBEsol-relaxed geometry. Values from VASP.

```
&SYSTEM
  ibrav = 0, nat = 4, ntyp = 3
/
ATOMIC_SPECIES
Cd 112.41 Cd.upf
Ni 58.69 Ni.upf
Hg 200.59 Hg.upf
CELL_PARAMETERS angstrom
2.923 -4.755 0.000
2.923 4.755 0.000
-1.552 0.000 2.677
ATOMIC_POSITIONS angstrom
Cd 0.000 0.000 0.000
Ni 2.923 0.000 0.000
Hg 1.461 2.377 0.000
Hg 1.461 -2.377 0.000
```

crystal system: monoclinic
raw total energy: -45.442 eV per atom
SG: C2/m

***

- raw total energy of number 3 (CdNiHg2)?
  -45.442 eV per atom

***

- Which value of raw total energy does entry 3 give?
  -45.442 eV per atom

***

- The lowest raw total energy belongs to which entry?
  number 1

***

- Which value of raw total energy does entry 1 give?
  -45.632 eV per atom